# OsRuCl2 | Alexandria via LeMat-Bulk | PBE | relaxed
data_OsRuCl2
_chemical_formula_sum 'Os2 Ru2 Cl4'
_cell_length_a 2.828
_cell_length_b 5.249
_cell_length_c 8.356
_cell_angle_alpha 90.00
_cell_angle_beta 90.00
_cell_angle_gamma 90.00
_space_group_name_H-M_alt 'C m m m'
_space_group_IT_number 65
_space_group_name_Hall '-C 2 2'
loop_
_atom_site_label
_atom_site_fract_x
_atom_site_fract_y
_atom_site_fract_z
_atom_site_occupancy
Os1 0.000 0.000 0.000 1
Ru1 0.000 0.000 0.500 1
Cl1 0.000 0.500 0.251 1
# - energy (Ry/atom) = -0.37261
# - size of the total moment (μB per cell) = 0.00
# - DOS(E_F) (states/eV/atom) = 1.09
# - E_form (uncorrected) (eV/atom) = 0.9801
# - relative energy among the computed polymorphs (eV per atom) = 0.875


# OsRuCl2 | Alexandria via LeMat-Bulk | PBE | relaxed
data_OsRuCl2
_chemical_formula_sum 'Os4 Ru4 Cl8'
_cell_length_a 6.325
_cell_length_b 6.325
_cell_length_c 6.325
_cell_angle_alpha 90.00
_cell_angle_beta 90.00
_cell_angle_gamma 90.00
_space_group_name_H-M_alt 'F -4 3 m'
_space_group_IT_number 216
_space_group_name_Hall 'F -4 2 3'
loop_
_atom_site_label
_atom_site_fract_x
_atom_site_fract_y
_atom_site_fract_z
_atom_site_occupancy
Os1 0.000 0.000 0.000 1
Ru1 0.250 0.250 0.250 1
Cl1 0.000 0.000 0.500 1
Cl2 0.250 0.250 0.750 1
# - energy (Ry/atom) = -0.35612
# - size of the total moment (μB per cell) = 4.57
# - DOS(E_F) (states/eV/atom) = 1.17
# - E_form (uncorrected) (eV/atom) = 1.2045
# - relative energy among the computed polymorphs (eV per atom) = 1.100


# OsRuCl2 | Alexandria via LeMat-Bulk | PBE | relaxed
data_OsRuCl2
_chemical_formula_sum 'Os2 Ru2 Cl4'
_cell_length_a 2.884
_cell_length_b 4.642
_cell_length_c 13.376
_cell_angle_alpha 90.00
_cell_angle_beta 90.00
_cell_angle_gamma 90.00
_space_group_name_H-M_alt 'I m m m'
_space_group_IT_number 71
_space_group_name_Hall '-I 2 2'
loop_
_atom_site_label
_atom_site_fract_x
_atom_site_fract_y
_atom_site_fract_z
_atom_site_occupancy
Os1 0.000 0.000 0.000 1
Ru1 0.000 0.000 0.500 1
Cl1 0.000 0.500 0.357 1
# - energy (Ry/atom) = -0.39321
# - size of the total moment (μB per cell) = 4.57
# - DOS(E_F) (states/eV/atom) = 0.80
# - E_form (uncorrected) (eV/atom) = 0.6999
# - relative energy among the computed polymorphs (eV per atom) = 0.595


# OsRuCl2 | Alexandria via LeMat-Bulk | PBE | relaxed
data_OsRuCl2
_chemical_formula_sum 'Os1 Ru1 Cl2'
_cell_length_a 2.826
_cell_length_b 4.180
_cell_length_c 5.258
_cell_angle_alpha 90.00
_cell_angle_beta 90.00
_cell_angle_gamma 90.00
_space_group_name_H-M_alt 'P m m m'
_space_group_IT_number 47
_space_group_name_Hall '-P 2 2'
loop_
_atom_site_label
_atom_site_fract_x
_atom_site_fract_y
_atom_site_fract_z
_atom_site_occupancy
Os1 0.000 0.000 0.000 1
Ru1 0.500 0.000 0.500 1
Cl1 0.000 0.500 0.500 1
Cl2 0.500 0.500 0.000 1
# - energy (Ry/atom) = -0.37160
# - size of the total moment (μB per cell) = 0.00
# - DOS(E_F) (states/eV/atom) = 1.14
# - E_form (uncorrected) (eV/atom) = 0.9938
# - relative energy among the computed polymorphs (eV per atom) = 0.889


# OsRuCl2 | Alexandria via LeMat-Bulk | PBE | relaxed
data_OsRuCl2
_chemical_formula_sum 'Os1 Ru1 Cl2'
_cell_length_a 2.965
_cell_length_b 4.178
_cell_length_c 5.027
_cell_angle_alpha 90.00
_cell_angle_beta 94.12
_cell_angle_gamma 90.00
_space_group_name_H-M_alt 'P 1 2/m 1'
_space_group_IT_number 10
_space_group_name_Hall '-P 2y'
loop_
_atom_site_label
_atom_site_fract_x
_atom_site_fract_y
_atom_site_fract_z
_atom_site_occupancy
Os1 0.000 0.000 0.000 1
Ru1 0.500 0.000 0.500 1
Cl1 0.236 0.500 0.249 1
# - energy (Ry/atom) = -0.37193
# - size of the total moment (μB per cell) = 0.00
# - DOS(E_F) (states/eV/atom) = 1.31
# - E_form (uncorrected) (eV/atom) = 0.9894
# - relative energy among the computed polymorphs (eV per atom) = 0.885


# OsRuCl4 | Alexandria via LeMat-Bulk | PBE | relaxed
data_OsRuCl4
_chemical_formula_sum 'Os4 Ru4 Cl16'
_cell_length_a 7.941
_cell_length_b 7.941
_cell_length_c 7.941
_cell_angle_alpha 90.00
_cell_angle_beta 90.00
_cell_angle_gamma 90.00
_space_group_name_H-M_alt 'F -4 3 m'
_space_group_IT_number 216
_space_group_name_Hall 'F -4 2 3'
loop_
_atom_site_label
_atom_site_fract_x
_atom_site_fract_y
_atom_site_fract_z
_atom_site_occupancy
Os1 0.000 0.000 0.000 1
Ru1 0.250 0.250 0.750 1
Cl1 0.125 0.125 0.375 1
# - energy (Ry/atom) = -0.20260
# - size of the total moment (μB per cell) = 20.52
# - DOS(E_F) (states/eV/atom) = 1.31
# - E_form (uncorrected) (eV/atom) = 1.8921